Entry 1:
DFT (GGA-PBE) results for Sb7Os3 after structural relaxation.

a = 9.625 Å, b = 9.625 Å, c = 9.625 Å
α = 90.00°, β = 90.00°, γ = 90.00°
Space group Im-3m (No. 229)
Inequivalent atoms, fractional coordinates:
1 Sb 0.000 0.250 0.500 (multiplicity 12)
2 Sb 0.164 0.164 0.164 (multiplicity 16)
3 Os 0.000 0.000 0.343 (multiplicity 12)

- raw total energy (eV per atom) = -6.04
- magnetic moment (μB per atom) = 0.000


Entry 2:
DFT (GGA-PBE) results for Cu2HgGeTeSe3 after structural relaxation.

a = 8.436 Å, b = 8.434 Å, c = 7.060 Å
α = 90.00°, β = 125.99°, γ = 90.00°
Space group Cm (No. 8)
Inequivalent atoms, fractional coordinates:
1 Cu 0.000 0.238 0.000 (multiplicity 4)
2 Hg 0.498 0.000 0.486 (multiplicity 2)
3 Ge 0.479 0.500 0.480 (multiplicity 2)
4 Te 0.365 0.000 0.771 (multiplicity 2)
5 Se 0.355 0.270 0.214 (multiplicity 4)
6 Se 0.396 0.500 0.762 (multiplicity 2)

- raw total energy (eV per atom) = -3.46


Entry 3:
DFT (GGA-PBE) results for Cs2CdO2 after structural relaxation.

a = 12.836 Å, b = 6.208 Å, c = 7.911 Å
α = 90.00°, β = 120.86°, γ = 90.00°
Space group C2/m (No. 12)
Inequivalent atoms, fractional coordinates:
1 Cs 0.024 0.000 0.261 (multiplicity 4)
2 Cs 0.172 0.500 0.098 (multiplicity 4)
3 Cd 0.142 0.500 0.618 (multiplicity 4)
4 O 0.015 0.500 0.315 (multiplicity 4)
5 O 0.192 0.000 0.130 (multiplicity 4)

- raw total energy (eV per atom) = -3.58


Entry 4:
DFT (GGA-PBE) results for ReAsOsO after structural relaxation.

a = 4.084 Å, b = 4.084 Å, c = 6.161 Å
α = 90.00°, β = 90.00°, γ = 90.00°
Space group P4/nmm (No. 129, origin choice 2)
Inequivalent atoms, fractional coordinates:
1 Re 0.250 0.750 0.000 (multiplicity 2)
2 As 0.250 0.250 0.235 (multiplicity 2)
3 Os 0.250 0.250 0.668 (multiplicity 2)
4 O 0.250 0.750 0.500 (multiplicity 2)

- raw total energy (eV per atom) = -7.98
- ΔE to the lowest computed polymorph (meV per atom) = 394
- magnetic moment (μB per atom) = 0.002


Entry 5:
DFT (GGA-PBE) results for Li4Zn2CuIr after structural relaxation.

a = 4.217 Å, b = 4.217 Å, c = 5.995 Å
α = 90.00°, β = 90.00°, γ = 90.00°
Space group P-4m2 (No. 115)
Inequivalent atoms, fractional coordinates:
1 Li 0.000 0.000 0.000 (multiplicity 1)
2 Li 0.000 0.500 0.248 (multiplicity 2)
3 Li 0.500 0.500 0.500 (multiplicity 1)
4 Zn 0.000 0.500 0.744 (multiplicity 2)
5 Cu 0.500 0.500 0.000 (multiplicity 1)
6 Ir 0.000 0.000 0.500 (multiplicity 1)

- raw total energy (eV per atom) = -3.04
- magnetic moment (μB per atom) = 0.000


Entry 6:
DFT (GGA-PBE) results for Hf3Al3CoPd2 after structural relaxation.

a = 7.0936 Å, b = 7.0936 Å, c = 3.4771 Å
α = 90.00°, β = 90.00°, γ = 120.00°
Space group P-62m (No. 189)
Inequivalent atoms, fractional coordinates:
1 Hf 0.0000 0.3914 0.0000 (multiplicity 3)
2 Al 0.0000 0.7524 0.5000 (multiplicity 3)
3 Co 0.0000 0.0000 0.0000 (multiplicity 1)
4 Pd 0.3333 0.6667 0.5000 (multiplicity 2)

- raw total energy (eV per atom) = -7.18
- magnetic moment (μB per atom) = 0.000


Entry 7:
DFT (GGA-PBE) results for Cs3NiI5 after structural relaxation.

a = 10.350 Å, b = 10.350 Å, c = 16.318 Å
α = 90.00°, β = 90.00°, γ = 90.00°
Space group I4/mcm (No. 140)
Inequivalent atoms, fractional coordinates:
1 Cs 0.000 0.000 0.250 (multiplicity 4)
2 Cs 0.158 0.342 0.000 (multiplicity 8)
3 Ni 0.000 0.500 0.250 (multiplicity 4)
4 I 0.000 0.000 0.000 (multiplicity 4)
5 I 0.141 0.359 0.344 (multiplicity 16)

- raw total energy (eV per atom) = -2.80
- magnetic moment (μB per atom) = 0.222


Entry 8:
DFT (GGA-PBE) results for ThTl after structural relaxation.

a = 6.434 Å, b = 6.434 Å, c = 6.434 Å
α = 90.00°, β = 90.00°, γ = 90.00°
Space group Fm-3m (No. 225)
Inequivalent atoms, fractional coordinates:
1 Th 0.000 0.000 0.000 (multiplicity 4)
2 Tl 0.000 0.000 0.500 (multiplicity 4)

- raw total energy (eV per atom) = -4.77
- magnetic moment (μB per atom) = 0.001